No. 1
The following is a PBE calculation of a geometry-optimized Ho3Tm2Fe2 structure, from the Alexandria database.

abc: 3.5527 10.3315 6.3549
angles: 52.86 73.76 90.00
Site moments in Bohr magnetons follow the coordinates.
Fractional coordinates of all 7 atoms:
Ho1 0.0000 0.0000 0.0000  -0.21
Ho2 0.8310 0.2899 0.3378  -0.09
Ho3 0.1690 0.7101 0.6622  -0.09
Tm1 0.4019 0.6380 0.1961  0.14
Tm2 0.5981 0.3620 0.8039  0.14
Fe1 0.6758 0.9395 0.6483  1.72
Fe2 0.3242 0.0605 0.3517  1.72

Results
The formation energy comes out at 0.048 eV/atom. As for the electronic total energy: -5.610 eV/atom. For the density of states at the Fermi level, the calculation gives 9.24 states/eV per cell. For the theoretical density, the calculation gives 9.01 g/cm3. The value obtained for the volume is 24.9 Å³/atom.

=====

No. 2
The following is a PBE calculation of a geometry-optimized HoTm3Fe structure, from the Alexandria database.

abc: 3.5672 9.0530 10.3249
angles: 126.99 90.00 90.00
Site moments in Bohr magnetons follow the coordinates.
Fractional coordinates of all 10 atoms:
Ho1 0.7500 0.6998 0.6373  0.08
Ho2 0.2500 0.3002 0.3627  0.08
Tm1 0.2500 0.6134 0.2882  -0.10
Tm2 0.7500 0.3866 0.7118  -0.10
Tm3 0.2500 0.0371 0.6649  -0.02
Tm4 0.7500 0.2074 0.0114  -0.06
Tm5 0.7500 0.9629 0.3351  -0.02
Tm6 0.2500 0.7926 0.9886  -0.06
Fe1 0.7500 0.5923 0.0586  1.47
Fe2 0.2500 0.4077 0.9414  1.47

Results
The formation energy comes out at 0.008 eV/atom. As for the electronic total energy: -5.283 eV/atom. For the density of states at the Fermi level, the calculation gives 12.49 states/eV per cell. For the theoretical density, the calculation gives 9.07 g/cm3. The value obtained for the volume is 26.6 Å³/atom.

=====

No. 3
The following is a PBE calculation of a geometry-optimized HoTm2Fe9 structure, from the Alexandria database.

abc: 5.0519 5.0519 8.5284
angles: 72.77 72.77 60.00
Site moments in Bohr magnetons follow the coordinates.
Fractional coordinates of all 12 atoms:
Ho1 0.0000 0.0000 0.0000  -0.44
Tm1 0.8580 0.8580 0.4261  -0.59
Tm2 0.1420 0.1420 0.5739  -0.59
Fe1 0.6671 0.6671 0.9987  2.20
Fe2 0.3329 0.3329 0.0013  2.20
Fe3 0.5000 0.5000 0.5000  1.73
Fe4 0.4176 0.4176 0.2463  1.96
Fe5 0.9185 0.4176 0.2463  1.96
Fe6 0.4176 0.9185 0.2463  1.96
Fe7 0.5824 0.5824 0.7537  1.96
Fe8 0.5824 0.0815 0.7537  1.96
Fe9 0.0815 0.5824 0.7537  1.96

Results
The formation energy comes out at -0.109 eV/atom. As for the electronic total energy: -7.583 eV/atom. For the density of states at the Fermi level, the calculation gives 13.01 states/eV per cell. For the theoretical density, the calculation gives 9.43 g/cm3. The value obtained for the volume is 14.8 Å³/atom.

=====

No. 4
The following is a PBE calculation of a geometry-optimized HoTm3Fe8 structure, from the Alexandria database.

abc: 5.0883 5.0883 8.7927
angles: 73.18 73.18 60.00
Site moments in Bohr magnetons follow the coordinates.
Fractional coordinates of all 12 atoms:
Ho1 0.8750 0.8750 0.3749  -0.57
Tm1 0.3750 0.3750 0.8749  -0.60
Tm2 0.0001 0.0001 0.9997  -0.60
Tm3 0.4998 0.4998 0.5005  -0.60
Fe1 0.9381 0.4377 0.1865  1.89
Fe2 0.4367 0.9374 0.6885  1.89
Fe3 0.4377 0.4377 0.1865  1.89
Fe4 0.9374 0.9374 0.6885  1.89
Fe5 0.1873 0.1873 0.4380  1.87
Fe6 0.6876 0.6876 0.9372  1.83
Fe7 0.4377 0.9381 0.1865  1.89
Fe8 0.9374 0.4367 0.6885  1.89

Results
The formation energy comes out at -0.133 eV/atom. As for the electronic total energy: -7.274 eV/atom. For the density of states at the Fermi level, the calculation gives 16.22 states/eV per cell. For the theoretical density, the calculation gives 10.00 g/cm3. The value obtained for the volume is 15.5 Å³/atom.

=====

No. 5
The following is a PBE calculation of a geometry-optimized HoTm2Fe structure, from the Alexandria database.

abc: 3.3092 3.3092 8.8543
angles: 90.00 90.00 90.00
Fractional coordinates of all 4 atoms:
Tm1 0.0000 0.0000 0.8209
Tm2 0.0000 0.0000 0.1791
Ho1 0.5000 0.5000 0.5000
Fe1 0.5000 0.5000 0.0000

Results
The formation energy comes out at 0.049 eV/atom. As for the electronic total energy: -5.447 eV/atom. For the density of states at the Fermi level, the calculation gives 3.26 states/eV per cell. For the theoretical density, the calculation gives 9.57 g/cm3. The value obtained for the volume is 24.2 Å³/atom.

=====

No. 6
The following is a PBE calculation of a geometry-optimized HoTmZnFe structure, from the Alexandria database.

abc: 4.8452 4.8452 4.8452
angles: 60.00 60.00 60.00
Site moments in Bohr magnetons follow the coordinates.
Fractional coordinates of all 4 atoms:
Zn1 0.5000 0.5000 0.5000  -0.02
Tm1 0.2500 0.2500 0.2500  -0.23
Ho1 0.7500 0.7500 0.7500  -0.21
Fe1 0.0000 0.0000 0.0000  1.59

Results
The formation energy comes out at -0.097 eV/atom. As for the electronic total energy: -4.794 eV/atom. For the density of states at the Fermi level, the calculation gives 5.20 states/eV per cell. For the theoretical density, the calculation gives 9.40 g/cm3. The value obtained for the volume is 20.1 Å³/atom.

=====

No. 7
The following is a PBE calculation of a geometry-optimized Ho2UFe2 structure, from the Alexandria database.

abc: 6.0362 6.0362 7.0208
angles: 75.25 75.25 59.43
Fractional coordinates of all 10 atoms:
Ho1 0.4446 0.2421 0.1368
Ho2 0.7579 0.5554 0.3632
Ho3 0.5554 0.7579 0.8632
Ho4 0.2421 0.4446 0.6368
U1 0.0213 0.9787 0.2500
U2 0.9787 0.0213 0.7500
Fe1 0.7147 0.9931 0.4917
Fe2 0.0069 0.2853 0.0083
Fe3 0.2853 0.0069 0.5083
Fe4 0.9931 0.7147 0.9917

Results
The formation energy comes out at -0.164 eV/atom. As for the electronic total energy: -7.638 eV/atom. For the density of states at the Fermi level, the calculation gives 10.39 states/eV per cell. For the theoretical density, the calculation gives 10.72 g/cm3. The value obtained for the volume is 21.1 Å³/atom.

=====

No. 8
The following is a PBE calculation of a geometry-optimized Ho3U2Fe6 structure, from the Alexandria database.

abc: 7.8880 7.8880 7.8880
angles: 109.47 109.47 109.47
Site moments in Bohr magnetons follow the coordinates.
Fractional coordinates of all 22 atoms:
Ho1 0.7089 0.0000 0.7089  -0.25
Ho2 0.2911 0.0000 0.2911  -0.25
Ho3 0.0000 0.2911 0.2911  -0.25
Ho4 0.0000 0.7089 0.7089  -0.25
Ho5 0.2911 0.2911 0.0000  -0.25
Ho6 0.7089 0.7089 0.0000  -0.25
U1 0.0000 0.5000 0.0000  -1.75
U2 0.5000 0.0000 0.0000  -1.75
U3 0.0000 0.0000 0.5000  -1.75
U4 0.5000 0.5000 0.5000  -1.75
Fe1 0.6628 0.3255 0.6628  1.28
Fe2 0.6628 0.0000 0.3372  1.28
Fe3 0.3372 0.0000 0.6628  1.28
Fe4 0.3372 0.6745 0.3372  1.28
Fe5 0.0000 0.6628 0.3372  1.28
Fe6 0.6745 0.3372 0.3372  1.28
Fe7 0.3255 0.6628 0.6628  1.28
Fe8 0.0000 0.3372 0.6628  1.28
Fe9 0.3372 0.6628 0.0000  1.28
Fe10 0.6628 0.6628 0.3255  1.28
Fe11 0.3372 0.3372 0.6745  1.28
Fe12 0.6628 0.3372 0.0000  1.28

Results
The formation energy comes out at -0.106 eV/atom. As for the electronic total energy: -8.023 eV/atom. For the density of states at the Fermi level, the calculation gives 19.30 states/eV per cell. For the theoretical density, the calculation gives 11.48 g/cm3. The value obtained for the volume is 17.2 Å³/atom.